V8Ga6Ni after structural relaxation, computed with PBE.

abc: 6.672 6.672 6.672
angles: 64.42 64.42 64.42
Fractional positions:
V 0.017 0.556 0.280
V 0.179 0.179 0.179
V 0.280 0.017 0.556
V 0.444 0.720 0.983
V 0.556 0.280 0.017
V 0.720 0.983 0.444
V 0.821 0.821 0.821
V 0.983 0.444 0.720
Ga 0.155 0.771 0.405
Ga 0.229 0.595 0.845
Ga 0.405 0.155 0.771
Ga 0.595 0.845 0.229
Ga 0.771 0.405 0.155
Ga 0.845 0.229 0.595
Ni 0.500 0.500 0.500

Computed properties:
- Volume: 230.44 Å³/f.u.
- Spin magnetization: 0.00 μB/atom
- DFT total energy: -6.30 eV/atom